A plane-wave DFT calculation with PBE was carried out for a geometry-optimized TbPu2NiN4 structure.

Its raw formation energy is -1049 meV per atom. For the density of states at the Fermi level, the calculation gives 51.15 states/eV/cell.

Lattice parameters (Å, degrees): 3.413 11.096 11.391 90.00 90.00 90.00
Space group Cmcm (No. 63)
Asymmetric unit:
Tb1 0.000 0.105 0.250 (multiplicity 4)
Pu1 0.000 0.370 0.058 (multiplicity 8)
Ni1 0.000 0.159 0.750 (multiplicity 4)
N1 0.000 0.000 0.000 (multiplicity 4)
N2 0.000 0.267 0.614 (multiplicity 8)
N3 0.000 0.449 0.250 (multiplicity 4)



A plane-wave DFT calculation with PBE was carried out for a geometry-optimized Pu2TcNiN5 structure.

Its raw formation energy is -493 meV per atom. For the density of states at the Fermi level, the calculation gives 41.13 states/eV/cell.

Lattice parameters (Å, degrees): 3.237 12.845 9.686 90.00 90.00 90.00
Space group Cmc2_1 (No. 36)
Asymmetric unit:
Pu1 0.000 0.114 0.000 (multiplicity 4)
Pu2 0.000 0.141 0.618 (multiplicity 4)
Tc1 0.000 0.194 0.323 (multiplicity 4)
Ni1 0.000 0.488 0.781 (multiplicity 4)
N1 0.000 0.050 0.373 (multiplicity 4)
N2 0.000 0.291 0.963 (multiplicity 4)
N3 0.000 0.307 0.668 (multiplicity 4)
N4 0.000 0.362 0.316 (multiplicity 4)
N5 0.000 0.490 0.087 (multiplicity 4)



A plane-wave DFT calculation with PBE was carried out for a geometry-optimized PuTh2NiN4 structure.

Its raw formation energy is -1077 meV per atom. For the density of states at the Fermi level, the calculation gives 30.43 states/eV/cell.

Lattice parameters (Å, degrees): 3.518 11.607 11.899 90.00 90.00 90.00
Space group Cmcm (No. 63)
Asymmetric unit:
Pu1 0.000 0.109 0.250 (multiplicity 4)
Th1 0.000 0.369 0.062 (multiplicity 8)
Ni1 0.000 0.163 0.750 (multiplicity 4)
N1 0.000 0.000 0.000 (multiplicity 4)
N2 0.000 0.275 0.624 (multiplicity 8)
N3 0.000 0.465 0.250 (multiplicity 4)